Entry 1:
Density functional theory data (PBE) for a relaxed structure of LuPuMgTc.

## Properties
Calculated density (kg/m3): 10467
ΔH_f (0 K) (eV per atom): 0.095

a = 4.9521 Å, b = 4.9521 Å, c = 4.9521 Å
α = 60.00°, β = 60.00°, γ = 60.00°
Last column: nearest neighbours and their distance in Å.
Atoms (fractional coordinates):
Mg 0.0000 0.0000 0.0000  4 Pu 3.03, 4 Lu 3.03
Lu 0.2500 0.2500 0.2500  4 Mg 3.03, 4 Tc 3.03
Tc 0.5000 0.5000 0.5000  4 Lu 3.03, 4 Pu 3.03
Pu 0.7500 0.7500 0.7500  4 Tc 3.03, 4 Mg 3.03

***

Entry 2:
Density functional theory data (PBE) for a relaxed structure of CaBi2IrO6.

## Properties
Formation energy without anion corrections (kJ per mole of atoms): -138
Calculated density (kg/m3): 8693

a = 5.6366 Å, b = 6.1589 Å, c = 8.2139 Å
α = 90.00°, β = 91.21°, γ = 90.00°
Last column: nearest neighbours and their distance in Å.
Atoms (fractional coordinates):
Ca 0.5000 0.0000 0.0000  6 O 2.33-2.40
Ca 0.0000 0.5000 0.5000  6 O 2.33-2.40
Bi 0.0081 0.9383 0.2782  5 O 2.34-2.41
Bi 0.5082 0.5617 0.7782  5 O 2.34-2.41
Bi 0.9918 0.0617 0.7218  5 O 2.34-2.41
Bi 0.4918 0.4383 0.2218  5 O 2.34-2.41
Ir 0.5000 0.0000 0.5000  6 O 2.02-2.06
Ir 0.0000 0.5000 0.0000  6 O 2.02-2.06
O 0.3192 0.6606 0.0202  1 Ir 2.06
O 0.8192 0.8394 0.5202  1 Ir 2.06
O 0.6808 0.3394 0.9798  1 Ir 2.06
O 0.1808 0.1606 0.4798  1 Ir 2.06
O 0.3095 0.7425 0.4181  1 Ir 2.02
O 0.8095 0.7575 0.9181  1 Ir 2.02
O 0.6905 0.2575 0.5819  1 Ir 2.02
O 0.1905 0.2425 0.0819  1 Ir 2.02
O 0.8849 0.5686 0.2272  1 Ir 2.03
O 0.3849 0.9314 0.7272  1 Ir 2.03
O 0.1151 0.4314 0.7728  1 Ir 2.03
O 0.6151 0.0686 0.2728  1 Ir 2.03

***

Entry 3:
Density functional theory data (PBE) for a relaxed structure of Ac2Zn3CdGa4.

## Properties
Calculated density (kg/m3): 7887
ΔH_f (0 K) (eV per atom): -0.453

a = 4.4914 Å, b = 4.4914 Å, c = 10.8701 Å
α = 90.00°, β = 90.00°, γ = 90.00°
Last column: nearest neighbours and their distance in Å.
Atoms (fractional coordinates):
Ac 0.5000 0.0000 0.2419  6 Zn 3.42-3.59, 8 Ga 3.42-3.46, 2 Cd 3.59
Ac 0.0000 0.5000 0.7581  6 Zn 3.42-3.59, 8 Ga 3.42-3.46, 2 Cd 3.59
Zn 0.0000 0.0000 0.5000  4 Ga 2.72
Zn 0.5000 0.0000 0.8741  5 Ga 2.53-2.63
Zn 0.0000 0.5000 0.1259  5 Ga 2.53-2.63
Cd 0.5000 0.5000 0.5000  4 Ga 2.72
Ga 0.5000 0.5000 0.0000  4 Zn 2.63
Ga 0.0000 0.0000 0.0000  4 Zn 2.63
Ga 0.5000 0.0000 0.6416  3 Zn 2.53-2.72, 2 Cd 2.72
Ga 0.0000 0.5000 0.3584  3 Zn 2.53-2.72, 2 Cd 2.72

***

Entry 4:
Density functional theory data (PBE) for a relaxed structure of La2AlSe.

## Properties
Relative energy among the computed polymorphs (meV per atom): 421
Formation energy without anion corrections (kJ per mole of atoms): -72
Calculated density (kg/m3): 5866

a = 6.3615 Å, b = 6.3615 Å, c = 6.3615 Å
α = 139.25°, β = 139.25°, γ = 58.99°
Last column: nearest neighbours and their distance in Å.
Atoms (fractional coordinates):
Al 0.7500 0.2500 0.5000  4 La 3.13
Se 0.5000 0.5000 0.0000  4 La 3.13
La 0.0000 0.0000 0.0000  4 Se 3.13
La 0.2500 0.7500 0.5000  4 Al 3.13

***

Entry 5:
Density functional theory data (PBE) for a relaxed structure of Ce2Pa2Tc3.

## Properties
Calculated density (kg/m3): 10104
ΔH_f (0 K) (eV per atom): -0.110

a = 4.4875 Å, b = 6.0139 Å, c = 6.9089 Å
α = 99.41°, β = 90.04°, γ = 111.87°
Last column: nearest neighbours and their distance in Å.
Atoms (fractional coordinates):
Ce 0.8760 0.7524 0.6283  2 Tc 2.53-2.69
Ce 0.1240 0.2476 0.3717  2 Tc 2.53-2.69
Pa 0.6303 0.2607 0.8945  4 Tc 2.61-2.84
Pa 0.3697 0.7393 0.1055  4 Tc 2.61-2.84
Tc 0.0000 0.0000 0.0000  2 Ce 2.69, 4 Pa 2.84, 2 Tc 2.98
Tc 0.8118 0.6239 0.2580  1 Ce 2.53, 2 Pa 2.61
Tc 0.1882 0.3761 0.7420  1 Ce 2.53, 2 Pa 2.61

***

Entry 6:
Density functional theory data (PBE) for a relaxed structure of LiLaGe3.

## Properties
Relative energy among the computed polymorphs (meV per atom): 1161
Calculated density (kg/m3): 3273
ΔH_f (0 K) (eV per atom): 0.674

a = 5.6937 Å, b = 5.6937 Å, c = 5.6937 Å
α = 90.00°, β = 90.00°, γ = 90.00°
Last column: nearest neighbours and their distance in Å.
Atoms (fractional coordinates):
Ge 0.0000 0.5000 0.0000  2 La 2.85
Ge 0.0000 0.0000 0.5000  2 La 2.85
Ge 0.5000 0.0000 0.0000  2 La 2.85
Li 0.5000 0.5000 0.5000  12 Ge 4.03
La 0.0000 0.0000 0.0000  6 Ge 2.85